(1)
CuMo3O | PBEsol | optimized geometry

```
CuMo3O
1.0
-2.5677 2.5013 2.6077
-3.4088 -0.6156 -2.7660
-1.1986 -3.6075 2.2801
O Mo Cu
1 3 1
direct
0.5000 0.5000 0.5000 O
0.0000 0.0000 0.5000 Mo
0.5000 0.0000 0.0000 Mo
0.0000 0.5000 0.0000 Mo
0.0000 0.0000 0.0000 Cu
```

Summary:
Magnetization, μB/atom: 0.001
Raw formation energy, meV per atom: 2323
Total DFT energy (no corrections), eV per cell: -33.3

=====

(2)
LiHfMn2Sb | PBEsol | optimized geometry

```
LiHfMn2Sb
1.0
-2.3822 -4.0619 1.3599
2.3643 -2.5444 -3.4582
3.8704 -1.1105 3.4632
Hf Mn Sb Li
1 2 1 1
direct
0.0000 0.0000 0.5000 Hf
0.0000 0.5000 0.0000 Mn
0.5000 0.0000 0.0000 Mn
0.0000 0.0000 0.0000 Sb
0.5000 0.5000 0.5000 Li
```

Summary:
Magnetization, μB/atom: 1.314
Raw formation energy, meV per atom: 1117
Total DFT energy (no corrections), eV per cell: -31.0

=====

(3)
MoIr2Os | PBEsol | optimized geometry

```
MoIr2Os
1.0
2.7290 0.0000 0.0000
0.0000 4.3589 0.0000
0.0000 0.0000 4.7770
Mo Ir Os
1 2 1
direct
0.5000 0.0000 0.5364 Mo
0.0000 0.5000 0.7118 Ir
0.0000 0.0000 0.0457 Ir
0.5000 0.5000 0.2061 Os
```

Summary:
Magnetization, μB/atom: 0.000
Total DFT energy (no corrections), eV per cell: -44.6
ΔE_f, eV per atom: -0.2511

=====

(4)
Hf3CdI | PBEsol | optimized geometry

```
Hf3CdI
1.0
-2.5111 -4.3246 1.1233
4.3593 -2.0887 1.7039
-0.9799 1.7902 4.7015
I Hf Cd
1 3 1
direct
0.0000 0.0000 0.0000 I
0.0000 0.5000 0.0000 Hf
0.5000 0.0000 0.0000 Hf
0.0000 0.0000 0.5000 Hf
0.5000 0.5000 0.5000 Cd
```

Summary:
Magnetization, μB/atom: 0.000
Raw formation energy, meV per atom: 1181
Total DFT energy (no corrections), eV per cell: -28.6

=====

(5)
NdLuMg2 | PBEsol | optimized geometry

```
NdLuMg2
1.0
5.3120 0.0000 0.0000
2.6560 4.6003 0.0000
2.6560 1.5334 4.3372
Mg Lu Nd
2 1 1
direct
0.2500 0.2500 0.2500 Mg
0.7500 0.7500 0.7500 Mg
0.5000 0.5000 0.5000 Lu
0.0000 0.0000 0.0000 Nd
```

Summary:
Magnetization, μB/atom: 0.005
Total DFT energy (no corrections), eV per cell: -13.8
ΔE_f, eV per atom: -0.0715

=====

(6)
Lu2S3 | PBEsol | optimized geometry

```
Lu2S3
1.0
-1.3526 -2.4185 -7.5337
0.1751 -7.6503 2.4245
-11.2641 5.4003 4.5652
S Lu
24 16
direct
0.6319 0.3862 0.1315 S
0.2547 0.3681 0.8685 S
0.9648 0.7115 0.7887 S
0.1542 0.4091 0.4658 S
0.2852 0.6727 0.7113 S
0.7504 0.3638 0.3685 S
0.9615 0.7148 0.2887 S
0.4261 0.0385 0.7113 S
0.0958 0.6932 0.0342 S
0.5909 0.6884 0.5342 S
0.3273 0.5739 0.2887 S
0.6362 0.3819 0.6315 S
0.9227 0.0352 0.2113 S
0.3068 0.0616 0.9658 S
0.8239 0.0773 0.7887 S
0.9432 0.8458 0.5342 S
0.4996 0.7453 0.1315 S
0.6591 0.9042 0.9658 S
0.9953 0.2496 0.6315 S
0.3116 0.0568 0.4658 S
0.9384 0.3409 0.0342 S
0.6181 0.0047 0.3685 S
0.6138 0.5004 0.8685 S
0.2885 0.1761 0.2113 S
0.3345 0.3345 0.6690 Lu
0.2421 0.8750 0.2500 Lu
0.9261 0.5485 0.5778 Lu
0.5845 0.0845 0.1690 Lu
0.7985 0.6761 0.0778 Lu
0.9155 0.4155 0.8310 Lu
0.3239 0.7207 0.9222 Lu
0.6655 0.6655 0.3310 Lu
0.5984 0.2015 0.9222 Lu
0.2793 0.4016 0.0778 Lu
0.1250 0.9921 0.7500 Lu
0.9707 0.0739 0.4222 Lu
0.4515 0.3484 0.4222 Lu
0.6250 0.7579 0.7500 Lu
0.0079 0.3750 0.2500 Lu
0.6516 0.0293 0.5778 Lu
```

Summary:
Magnetization, μB/atom: 0.000
Raw formation energy, meV per atom: -2076
Total DFT energy (no corrections), eV per cell: -266.2

=====

(7)
VRhO4 | PBEsol | optimized geometry

```
VRhO4
1.0
-2.8245 -0.7093 0.3086
-0.3669 -0.4834 -4.4685
1.1312 -4.3511 0.3526
Rh O V
1 4 1
direct
0.5000 0.5000 0.5000 Rh
0.0000 0.2945 0.7055 O
0.5000 0.1919 0.1919 O
0.0000 0.7055 0.2945 O
0.5000 0.8081 0.8081 O
0.0000 0.0000 0.0000 V
```

Summary:
Magnetization, μB/atom: 0.000
Raw formation energy, meV per atom: -1645
Total DFT energy (no corrections), eV per cell: -48.6

=====

(8)
Zr2ScCr | PBEsol | optimized geometry

```
Zr2ScCr
1.0
-2.2707 0.5816 -2.3376
-3.3011 -2.1525 2.6711
1.7083 5.0555 1.9424
Zr Cr Sc
2 1 1
direct
0.2091 0.7091 0.4182 Zr
0.9980 0.9980 0.9961 Zr
0.5093 0.5093 0.0186 Cr
0.7836 0.2836 0.5671 Sc
```

Summary:
Magnetization, μB/atom: 0.257
Total DFT energy (no corrections), eV per cell: -34.3
ΔE_f, eV per atom: 0.1826

=====

Number 1: calculated volume 87 Å³ per cell. Number 2: calculated volume 128 Å³ per cell. Number 3: calculated volume 57 Å³ per cell. Number 4: calculated volume 135 Å³ per cell. Number 5: calculated volume 106 Å³ per cell. Number 6: calculated volume 775 Å³ per cell. Number 7: calculated volume 60 Å³ per cell. Number 8: calculated volume 77 Å³ per cell.